## TlCoO3 (GGA+U)

Data for crystalline TlCoO3 at its relaxed geometry.

Lattice parameters (Å, degrees): 3.5788 3.5788 5.3871 90.00 90.00 90.00
With the nearest neighbours (Å) after each atom.
Sites, in units of the cell vectors:
Tl (0.5000, 0.5000, 0.4730)  5 O 2.03-2.24
O (0.0000, 0.5000, 0.7219)  2 Co 2.00, 2 Tl 2.24
O (0.5000, 0.5000, 0.0969)  1 Tl 2.03
O (0.5000, 0.0000, 0.7219)  2 Co 2.00, 2 Tl 2.24
Co (0.0000, 0.0000, 0.8864)  4 O 2.00

Properties
E_tot   -23.5 eV/cell
Space-group type   P4mm